First-principles (GGA-PBE) data for a relaxed structure of GeAsW2, as listed in Alexandria via LeMat-Bulk.

Properties
- Size of the total moment: 0.00 μB/cell
- E_form: 0.345 eV per atom
- Density of states at the Fermi level: 28.9 states/eV/cell

Cell: 6.275 6.275 6.275 Å, 90.00 90.00 90.00°
Element x y z (fractional)
1 Ge 0.000 0.000 0.000
2 Ge 0.000 0.500 0.500
3 Ge 0.500 0.000 0.500
4 Ge 0.500 0.500 0.000
5 As 0.000 0.000 0.500
6 As 0.000 0.500 0.000
7 As 0.500 0.000 0.000
8 As 0.500 0.500 0.500
9 W 0.250 0.250 0.250
10 W 0.250 0.250 0.750
11 W 0.250 0.750 0.250
12 W 0.250 0.750 0.750
13 W 0.750 0.250 0.250
14 W 0.750 0.250 0.750
15 W 0.750 0.750 0.250
16 W 0.750 0.750 0.750